Entry 1:
Material: Pm2Mg3Pt4
Method: DFT, GGA-PBE
State: relaxed

Cell lengths 5.7858, 16.3485, 7.6210 Å; angles 90.00, 90.00, 90.00 degrees
With the nearest neighbours (Å) after each atom.
Space group Cmce (No. 64)
Unique sites:
Pm  0.0000  0.1046  0.0898 x8  7 Pt 3.04-3.33, 2 Mg 3.34
Mg  0.0000  0.0000  0.5000 x4  6 Pt 2.60-2.81
Mg  0.2500  0.2271  0.7500 x8  5 Pt 2.68-2.77, 2 Mg 2.89
Pt  0.0000  0.1711  0.4638 x8  5 Mg 2.74-2.81, 1 Pm 3.05
Pt  0.2500  0.0629  0.7500 x8  3 Mg 2.60-2.68, 2 Pt 2.89

Output
E_form ... -0.906 eV/atom
Excess energy over the best structure of this formula in the dataset ... 46 meV per atom
Energy ... -5.18 eV per atom
Mass density ... 10.53 Mg/m³

Entry 2:
Material: K2BeSe2
Method: DFT, GGA-PBE
State: relaxed

Cell lengths 6.8672, 13.0589, 6.1312 Å; angles 90.00, 90.00, 90.00 degrees
With the nearest neighbours (Å) after each atom.
Space group Ibam (No. 72)
Unique sites:
K  0.1740  0.1444  0.0000 x8  6 Se 3.30-3.50, 2 Be 3.30
Be  0.0000  0.5000  0.2500 x4  4 Se 2.31
Se  0.1725  0.4037  0.0000 x8  2 Be 2.31

Output
Excess energy over the best structure of this formula in the dataset ... 0 meV per atom
Energy ... -3.64 eV per atom
Mass density ... 2.96 Mg/m³
Formation energy from raw total energies ... -1.0576 eV/atom

Entry 3:
Material: Cs2SnHg2Br4
Method: DFT, GGA-PBE
State: relaxed

Cell lengths 8.7312, 8.7312, 9.0815 Å; angles 90.00, 90.00, 90.00 degrees
With the nearest neighbours (Å) after each atom.
Space group I4/mmm (No. 139)
Unique sites:
Cs  0.0000  0.5000  0.2500 x4  8 Br 3.83
Sn  0.0000  0.0000  0.0000 x2  4 Br 2.94, 2 Hg 3.03
Hg  0.0000  0.0000  0.3337 x4  1 Hg 3.02, 1 Sn 3.03
Br  0.2383  0.2383  0.0000 x8  1 Sn 2.94

Output
Energy ... -2.49 eV per atom
Mass density ... 5.30 Mg/m³
Formation energy from raw total energies ... -1.0480 eV/atom

Entry 4:
Material: Pm6Cd5Ge
Method: DFT, GGA-PBE
State: relaxed

Cell lengths 5.3418, 16.1958, 7.5870 Å; angles 90.00, 90.00, 90.00 degrees
With the nearest neighbours (Å) after each atom.
Space group Cmmm (No. 65)
Unique sites:
Pm  0.0000  0.0000  0.2344 x4  2 Ge 3.21, 6 Cd 3.35-3.43, 1 Pm 3.56
Pm  0.0000  0.3415  0.2441 x8  1 Ge 3.17, 7 Cd 3.21-3.37
Cd  0.0000  0.1711  0.5000 x4  8 Pm 3.31-3.43, 2 Cd 3.70
Cd  0.0000  0.1793  0.0000 x4  8 Pm 3.21-3.41, 2 Cd 3.52
Cd  0.0000  0.5000  0.5000 x2  8 Pm 3.22-3.35
Ge  0.0000  0.5000  0.0000 x2  8 Pm 3.17-3.21

Output
E_form ... -0.391 eV/atom
Energy ... -3.53 eV per atom
Mass density ... 7.61 Mg/m³

Entry 5:
Material: InAsPSe2
Method: DFT, GGA-PBE
State: relaxed

Cell lengths 5.0355, 5.0355, 4.8139 Å; angles 90.00, 90.00, 90.00 degrees
With the nearest neighbours (Å) after each atom.
Space group P4/mmm (No. 123)
Unique sites:
In  0.0000  0.0000  0.0000 x1  8 Se 3.48, 4 As 3.56
As  0.5000  0.5000  0.0000 x1  2 P 2.41
P  0.5000  0.5000  0.5000 x1  2 As 2.41, 4 Se 2.52
Se  0.0000  0.5000  0.5000 x2  2 P 2.52

Output
Excess energy over the best structure of this formula in the dataset ... 0 meV per atom
Energy ... -3.64 eV per atom
Mass density ... 5.15 Mg/m³
Formation energy from raw total energies ... 0.3181 eV/atom

Entry 6:
Material: K3Nd3AlTe8
Method: DFT, GGA-PBE
State: relaxed

Cell lengths 8.9147, 8.9147, 25.6860 Å; angles 90.00, 90.00, 120.00 degrees
With the nearest neighbours (Å) after each atom.
Space group R-3m (No. 166, hexagonal axes)
Unique sites:
K  0.0000  0.5000  0.0000 x9  6 Te 3.54-3.58
Nd  0.0000  0.5000  0.5000 x9  6 Te 3.17-3.18
Al  0.0000  0.0000  0.5000 x3  6 Te 2.89
Te  0.0000  0.0000  0.2389 x6  3 Nd 3.17, 3 K 3.54
Te  0.0303  0.5152  0.2325 x18  1 Al 2.89, 2 Nd 3.18

Output
Energy ... -4.20 eV per atom
Mass density ... 4.50 Mg/m³
Formation energy from raw total energies ... -1.1058 eV/atom

Entry 7:
Material: V2GaRu
Method: DFT, GGA-PBE
State: relaxed

Cell lengths 3.7055, 3.7055, 3.9932 Å; angles 90.00, 90.00, 90.00 degrees
With the nearest neighbours (Å) after each atom.
Space group P4/mmm (No. 123)
Unique sites:
V  0.0000  0.5000  0.0000 x2  4 V 2.62, 4 Ru 2.72, 4 Ga 2.72
Ga  0.0000  0.0000  0.5000 x1  4 Ru 2.62, 8 V 2.72
Ru  0.5000  0.5000  0.5000 x1  4 Ga 2.62, 8 V 2.72

Output
E_form ... -0.238 eV/atom
Energy ... -7.87 eV per atom
Mass density ... 8.26 Mg/m³

Entry 8:
Material: Na2SrW
Method: DFT, GGA-PBE
State: relaxed

Cell lengths 7.8275, 7.8275, 7.8275 Å; angles 90.00, 90.00, 90.00 degrees
With the nearest neighbours (Å) after each atom.
Space group Fm-3m (No. 225)
Unique sites:
Na  0.2500  0.2500  0.2500 x8  4 W 3.39, 4 Sr 3.39
Sr  0.0000  0.0000  0.0000 x4  8 Na 3.39
W  0.0000  0.0000  0.5000 x4  8 Na 3.39

Output
E_form ... 1.263 eV/atom
Excess energy over the best structure of this formula in the dataset ... 0 meV per atom
Energy ... -3.06 eV per atom
Mass density ... 4.40 Mg/m³

Entry 9:
Material: HfCd2Ir
Method: DFT, GGA-PBE
State: relaxed

Cell lengths 6.6499, 6.6499, 6.6499 Å; angles 90.00, 90.00, 90.00 degrees
With the nearest neighbours (Å) after each atom.
Space group Fm-3m (No. 225)
Unique sites:
Hf  0.0000  0.0000  0.0000 x4  8 Cd 2.88
Cd  0.2500  0.2500  0.2500 x8  4 Hf 2.88, 4 Ir 2.88
Ir  0.0000  0.0000  0.5000 x4  8 Cd 2.88

Output
E_form ... 0.024 eV/atom
Excess energy over the best structure of this formula in the dataset ... 0 meV per atom
Energy ... -5.14 eV per atom
Mass density ... 13.45 Mg/m³

Entry 10:
Material: Nd4Dy2Ho
Method: DFT, GGA-PBE
State: relaxed

Cell lengths 6.2369, 6.6730, 11.6644 Å; angles 90.00, 104.49, 90.00 degrees
With the nearest neighbours (Å) after each atom.
Space group P2_1/m (No. 11)
Unique sites:
Nd  0.0396  0.2500  0.3644 x2  3 Ho 3.38-3.53, 2 Nd 3.40, 3 Dy 3.41-3.49
Nd  0.1513  0.2500  0.9505 x2  1 Ho 3.35, 4 Dy 3.42-3.48, 4 Nd 3.49-3.63
Nd  0.3532  0.5103  0.2152 x4  4 Nd 3.20-3.49, 1 Ho 3.47, 1 Dy 3.53
Dy  0.2877  0.7500  0.9231 x2  9 Nd 3.42-3.69
Dy  0.3925  0.7500  0.5052 x2  6 Nd 3.41-3.69, 1 Ho 3.45, 2 Dy 3.61
Ho  0.1488  0.2500  0.6629 x2  6 Nd 3.35-3.53, 1 Dy 3.45

Output
E_form ... 0.124 eV/atom
Excess energy over the best structure of this formula in the dataset ... 65 meV per atom
Energy ... -4.57 eV per atom
Mass density ... 7.54 Mg/m³

Entry 11:
Material: CaHoInIr
Method: DFT, GGA-PBE
State: relaxed

Cell lengths 7.1495, 7.1495, 7.1495 Å; angles 90.00, 90.00, 90.00 degrees
With the nearest neighbours (Å) after each atom.
Space group F-43m (No. 216)
Unique sites:
Ca  0.0000  0.0000  0.0000 x4  4 Ir 3.10, 4 In 3.10
Ho  0.0000  0.0000  0.5000 x4  4 In 3.10, 4 Ir 3.10
In  0.2500  0.2500  0.7500 x4  4 Ho 3.10, 4 Ca 3.10
Ir  0.2500  0.2500  0.2500 x4  4 Ho 3.10, 4 Ca 3.10

Output
E_form ... -0.414 eV/atom
Energy ... -4.96 eV per atom
Mass density ... 9.31 Mg/m³

Entry 12:
Material: Sm2PaSb3Rh4
Method: DFT, GGA-PBE
State: relaxed

Cell lengths 4.4385, 4.4385, 11.3310 Å; angles 90.00, 90.00, 90.00 degrees
With the nearest neighbours (Å) after each atom.
Space group P-4m2 (No. 115)
Unique sites:
Sm  0.0000  0.5000  0.2137 x2  4 Sb 3.27, 8 Rh 3.28-3.56
Pa  0.0000  0.0000  0.5000 x1  4 Rh 2.72
Sb  0.0000  0.5000  0.8672 x2  5 Rh 2.59-2.68
Sb  0.5000  0.5000  0.5000 x1  4 Rh 2.72
Rh  0.0000  0.0000  0.0000 x1  4 Sb 2.68
Rh  0.0000  0.5000  0.6382 x2  3 Sb 2.59-2.72, 2 Pa 2.72
Rh  0.5000  0.5000  0.0000 x1  4 Sb 2.68

Output
Energy ... -6.88 eV per atom
Mass density ... 9.73 Mg/m³
Formation energy from raw total energies ... -0.8059 eV/atom

Entry 13:
Material: TcMo2Cl
Method: DFT, GGA-PBE
State: relaxed

Cell lengths 4.6223, 4.6223, 2.8516 Å; angles 90.00, 90.00, 90.00 degrees
With the nearest neighbours (Å) after each atom.
Space group P4/mmm (No. 123)
Unique sites:
Tc  0.0000  0.0000  0.0000 x1  8 Mo 2.72, 2 Tc 2.85
Mo  0.0000  0.5000  0.5000 x2  4 Cl 2.72, 4 Tc 2.72, 2 Mo 2.85
Cl  0.5000  0.5000  0.0000 x1  8 Mo 2.72, 2 Cl 2.85

Output
Excess energy over the best structure of this formula in the dataset ... 401 meV per atom
Energy ... -7.83 eV per atom
Mass density ... 8.87 Mg/m³
Formation energy from raw total energies ... 0.6423 eV/atom

Entry 14:
Material: MnAl2H2
Method: DFT, GGA-PBE
State: relaxed

Cell lengths 6.4172, 6.4172, 2.5288 Å; angles 90.00, 90.00, 90.00 degrees
With the nearest neighbours (Å) after each atom.
Space group P4/mbm (No. 127)
Unique sites:
Mn  0.0000  0.0000  0.0000 x2  4 Al 2.42, 2 Mn 2.53
Al  0.1577  0.3423  0.0000 x4  4 H 2.10
H  0.0968  0.5968  0.5000 x4  1 H 1.76

Output
Excess energy over the best structure of this formula in the dataset ... 655 meV per atom
Energy ... -3.95 eV per atom
Mass density ... 3.54 Mg/m³

Entry 15:
Material: Hf2ScN2
Method: DFT, GGA-PBE
State: relaxed

Cell lengths 3.2699, 4.4665, 9.7226 Å; angles 90.00, 90.00, 90.00 degrees
With the nearest neighbours (Å) after each atom.
Space group Immm (No. 71)
Unique sites:
Hf  0.0000  0.0000  0.1800 x4  4 N 2.21-2.24
Sc  0.0000  0.0000  0.5000 x2  4 N 2.31
N  0.0000  0.5000  0.1677 x4  4 Hf 2.21-2.24, 2 Sc 2.31

Output
Excess energy over the best structure of this formula in the dataset ... 0 meV per atom
Energy ... -10.05 eV per atom
Mass density ... 10.06 Mg/m³
Formation energy from raw total energies ... -1.4689 eV/atom

Entry 16:
Material: LiGeB
Method: DFT, GGA-PBE
State: relaxed

Cell lengths 3.6115, 3.6115, 6.1759 Å; angles 90.00, 90.00, 90.00 degrees
With the nearest neighbours (Å) after each atom.
Space group P4/nmm (No. 129, origin choice 2)
Unique sites:
Li  0.2500  0.2500  0.1553 x2  5 Ge 2.68-2.74, 4 B 2.79
Ge  0.2500  0.2500  0.7113 x2  4 B 2.23
B  0.2500  0.7500  0.5000 x2  4 Ge 2.23

Output
E_form ... 0.314 eV/atom
Energy ... -4.09 eV per atom
Mass density ... 3.73 Mg/m³

Entry 17:
Material: TbSi3Os3
Method: DFT, GGA-PBE
State: relaxed

Cell lengths 6.6501, 6.6501, 19.9852 Å; angles 90.00, 90.00, 120.00 degrees
With the nearest neighbours (Å) after each atom.
Space group R-3 (No. 148, hexagonal axes)
Unique sites:
Tb  0.0000  0.0000  0.1657 x6  6 Si 2.97-3.14, 6 Os 3.09-3.26
Si  0.0203  0.2800  0.5907 x18  4 Os 2.32-2.46
Os  0.0286  0.3933  0.3804 x18  4 Si 2.32-2.46

Output
Excess energy over the best structure of this formula in the dataset ... 0 meV per atom
Energy ... -7.99 eV per atom
Mass density ... 10.59 Mg/m³
Formation energy from raw total energies ... -0.1959 eV/atom

Entry 18:
Material: Pm3AsSeN
Method: DFT, GGA-PBE
State: relaxed

Cell lengths 8.6374, 4.0902, 9.2624 Å; angles 90.00, 98.68, 90.00 degrees
With the nearest neighbours (Å) after each atom.
Space group P2_1/m (No. 11)
Unique sites:
Pm  0.0946  0.2500  0.3424 x2  1 N 2.24
Pm  0.1649  0.7500  0.0066 x2  3 N 2.28-2.34
Pm  0.3938  0.7500  0.6562 x2  2 As 2.90, 3 Se 2.90-2.99
As  0.1658  0.2500  0.6972 x2  5 Pm 2.90-3.25
Se  0.3535  0.7500  0.3392 x2  5 Pm 2.90-3.03
N  0.0916  0.2500  0.1000 x2  4 Pm 2.24-2.34

Output
Energy ... -6.60 eV per atom
Mass density ... 6.19 Mg/m³
Formation energy from raw total energies ... -1.4811 eV/atom

Entry 19:
Material: KBeAg2
Method: DFT, GGA-PBE
State: relaxed

Cell lengths 7.2056, 7.5278, 2.9769 Å; angles 90.00, 90.14, 90.00 degrees
With the nearest neighbours (Å) after each atom.
Space group C2/m (No. 12)
Unique sites:
K  0.0000  0.0000  0.0000 x2  2 K 2.98, 8 Ag 3.00
Be  0.0000  0.5000  0.0000 x2  2 Be 2.98, 8 Ag 3.00
Ag  0.2500  0.2500  0.5000 x4  2 Ag 2.98, 4 K 3.00, 4 Be 3.00

Output
E_form ... 0.640 eV/atom
Energy ... -1.99 eV per atom
Mass density ... 5.43 Mg/m³

Entry 20:
Material: K4Pu3GeSe8
Method: DFT, GGA-PBE
State: relaxed

Cell lengths 8.5292, 8.5292, 22.7660 Å; angles 90.00, 90.00, 120.00 degrees
With the nearest neighbours (Å) after each atom.
Space group R-3m (No. 166, hexagonal axes)
Unique sites:
K  0.0000  0.0000  0.0000 x3  6 Se 3.35
K  0.0000  0.5000  0.0000 x9  6 Se 3.33-3.36
Pu  0.0000  0.5000  0.5000 x9  6 Se 2.89-2.91
Ge  0.0000  0.0000  0.5000 x3  6 Se 2.90
Se  0.0000  0.0000  0.2349 x6  3 Pu 2.91
Se  0.0010  0.5005  0.7670 x18  2 Pu 2.89, 1 Ge 2.90

Output
Energy ... -6.26 eV per atom
Mass density ... 5.53 Mg/m³
Formation energy from raw total energies ... -1.2667 eV/atom

Entry 21:
Material: Dy6TlCd5
Method: DFT, GGA-PBE
State: relaxed

Cell lengths 5.2934, 15.9355, 7.5135 Å; angles 90.00, 90.00, 90.00 degrees
With the nearest neighbours (Å) after each atom.
Space group Cmmm (No. 65)
Unique sites:
Dy  0.0000  0.0000  0.2485 x4  6 Cd 3.24-3.32, 2 Tl 3.25
Dy  0.0000  0.3328  0.2476 x8  7 Cd 3.20-3.26, 1 Tl 3.27
Tl  0.0000  0.5000  0.5000 x2  8 Dy 3.25-3.27
Cd  0.0000  0.1667  0.0000 x4  8 Dy 3.24-3.25
Cd  0.0000  0.1712  0.5000 x4  8 Dy 3.20-3.32
Cd  0.0000  0.5000  0.0000 x2  8 Dy 3.24-3.25

Output
E_form ... -0.327 eV/atom
Energy ... -3.21 eV per atom
Mass density ... 9.13 Mg/m³

Entry 22:
Material: ThZr2Ni
Method: DFT, GGA-PBE
State: relaxed

Cell lengths 6.4666, 9.4837, 5.8487 Å; angles 90.00, 90.00, 90.00 degrees
With the nearest neighbours (Å) after each atom.
Space group Pnma (No. 62)
Unique sites:
Th  0.0428  0.2500  0.1456 x4  2 Ni 2.75-2.88
Zr  0.1958  0.0548  0.6369 x8  2 Ni 2.67-2.70
Ni  0.1013  0.7500  0.3883 x4  4 Zr 2.67-2.70, 2 Th 2.75-2.88

Output
E_form ... -0.168 eV/atom
Excess energy over the best structure of this formula in the dataset ... 0 meV per atom
Energy ... -7.74 eV per atom
Mass density ... 8.76 Mg/m³

Entry 23:
Material: Ca4HPt
Method: DFT, GGA-PBE
State: relaxed

Cell lengths 5.9228, 9.3456, 6.1847 Å; angles 90.00, 103.12, 90.00 degrees
With the nearest neighbours (Å) after each atom.
Space group P2_1/m (No. 11)
Unique sites:
Ca  0.1490  0.2500  0.2396 x2  1 H 2.20
Ca  0.2789  0.0455  0.7819 x4  1 H 2.27
Ca  0.2912  0.7500  0.3630 x2  1 H 2.28
H  0.3168  0.2500  0.5959 x2  4 Ca 2.20-2.28
Pt  0.3918  0.7500  0.8922 x2  8 Ca 2.89-3.19

Output
Energy ... -3.39 eV per atom
Mass density ... 3.55 Mg/m³